[1]
{"formula": "Sm2GaCu4Ge3", "functional": "PBE", "state": "optimized geometry", "sg": "No. 115", "lattice_angstrom": [[4.143, 0.000, 0.000], [0.000, 4.143, 0.000], [0.000, 0.000, 10.210]], "species": ["Sm", "Sm", "Ga", "Cu", "Cu", "Cu", "Cu", "Ge", "Ge", "Ge"], "fractional_positions": [[0.000, 0.500, 0.245], [0.500, 0.000, 0.755], [0.000, 0.000, 0.500], [0.000, 0.000, 0.000], [0.000, 0.500, 0.635], [0.500, 0.000, 0.365], [0.500, 0.500, 0.000], [0.000, 0.500, 0.868], [0.500, 0.000, 0.132], [0.500, 0.500, 0.500]]}

[2]
{"formula": "Ge2SbP2", "functional": "PBE", "state": "optimized geometry", "sg": "No. 139", "formation_energy_uncorrected_ev_per_atom": 0.365, "lattice_angstrom": [[-1.811, 1.811, 7.619], [1.811, -1.811, 7.619], [1.811, 1.811, -7.619]], "species": ["Ge", "Ge", "Sb", "P", "P"], "fractional_positions": [[0.111, 0.111, 0.000], [0.889, 0.889, 0.000], [0.500, 0.500, 0.000], [0.250, 0.750, 0.500], [0.750, 0.250, 0.500]]}

[3]
{"formula": "Ga8Cu2Ni", "functional": "PBE", "state": "optimized geometry", "sg": "No. 12", "lattice_angstrom": [[8.597, -1.961, 0.000], [8.597, 1.961, 0.000], [-1.141, 0.000, 5.319]], "species": ["Ga", "Ga", "Ga", "Ga", "Ga", "Ga", "Ga", "Ga", "Cu", "Cu", "Ni"], "fractional_positions": [[0.027, 0.027, 0.256], [0.223, 0.223, 0.771], [0.357, 0.357, 0.550], [0.402, 0.402, 0.100], [0.598, 0.598, 0.900], [0.643, 0.643, 0.450], [0.777, 0.777, 0.229], [0.973, 0.973, 0.744], [0.170, 0.170, 0.176], [0.830, 0.830, 0.824], [0.500, 0.500, 0.500]]}

Number 1: total DFT energy (no corrections) -4.786 eV per atom. Number 2: total DFT energy (no corrections) -4.470 eV per atom. Number 3: total DFT energy (no corrections) -3.552 eV per atom.